# 1
VASP calculation (PBE) on a relaxed AcAg2B2S6 crystal.

a = 6.4385 Å, b = 6.4385 Å, c = 7.9442 Å
α = 90.00°, β = 90.00°, γ = 120.00°
Last column: nearest neighbours and their distance in Å.
Space group P-3 (No. 147)
One atom of each set of equivalent atoms:
Ac  0.0000  0.0000  0.0000 [1 per cell]  6 S 2.99
Ag  0.3333  0.6667  0.2524 [2 per cell]  3 S 2.48
B  0.3333  0.6667  0.7587 [2 per cell]  3 S 1.81
S  0.0696  0.3718  0.7463 [6 per cell]  1 B 1.81

Output
The value obtained for the density of states at the Fermi level is 9.35 states/eV per cell. The density comes out at 3.8 g cm⁻³. The value obtained for the formation energy from raw total energies is -0.592 eV per atom.

=====

# 2
VASP calculation (PBE) on a relaxed Na2HfTiS4 crystal.

a = 6.2799 Å, b = 3.6331 Å, c = 7.0619 Å
α = 90.00°, β = 107.31°, γ = 90.00°
Last column: nearest neighbours and their distance in Å.
Space group P2/m (No. 10)
One atom of each set of equivalent atoms:
Na  0.0000  0.0000  0.0000 [1 per cell]  6 S 2.84-2.85
Na  0.5000  0.5000  0.0000 [1 per cell]  6 S 2.82-2.83
Hf  0.0000  0.5000  0.5000 [1 per cell]  6 S 2.57
Ti  0.5000  0.0000  0.5000 [1 per cell]  6 S 2.54
S  0.2431  0.0000  0.7187 [2 per cell]  1 Ti 2.54, 2 Hf 2.57, 3 Na 2.82-2.84
S  0.2655  0.5000  0.2853 [2 per cell]  2 Ti 2.54, 1 Hf 2.57, 1 Na 2.83

Output
The value obtained for the density of states at the Fermi level is 4.31 states/eV per cell. The density comes out at 4.3 g cm⁻³. The value obtained for the formation energy from raw total energies is -1.417 eV per atom.

=====

# 3
VASP calculation (PBE) on a relaxed Mg3TaNi crystal.

a = 4.6086 Å, b = 4.6086 Å, c = 4.6086 Å
α = 90.00°, β = 90.00°, γ = 90.00°
Last column: nearest neighbours and their distance in Å.
Space group Pm-3m (No. 221)
One atom of each set of equivalent atoms:
Mg  0.0000  0.0000  0.5000 [3 per cell]  2 Ni 2.30
Ta  0.5000  0.5000  0.5000 [1 per cell]  12 Mg 3.26
Ni  0.0000  0.0000  0.0000 [1 per cell]  6 Mg 2.30

Output
The value obtained for the density of states at the Fermi level is 2.85 states/eV per cell. For the formation energy, the calculation gives 3.70 eV per formula unit. As for the energy above the most stable polymorph in this dataset: 0 meV/atom. The density comes out at 5.3 g cm⁻³.

=====

# 4
VASP calculation (PBE) on a relaxed Pm12Ho2Th crystal.

a = 7.1314 Å, b = 11.5957 Å, c = 24.9852 Å
α = 90.00°, β = 90.00°, γ = 90.00°
Last column: nearest neighbours and their distance in Å.
Space group Cmme (No. 67)
One atom of each set of equivalent atoms:
Pm  0.0000  0.0017  0.0745 [8 per cell]  2 Th 3.44-3.45, 9 Pm 3.57-3.72
Pm  0.0000  0.0238  0.5599 [8 per cell]  5 Pm 3.05-3.39
Pm  0.2321  0.2500  0.4136 [8 per cell]  7 Pm 3.31-3.65
Pm  0.2489  0.2500  0.8733 [8 per cell]  8 Pm 3.43-3.66, 2 Th 3.61-3.66
Pm  0.2500  0.0000  0.2000 [8 per cell]  3 Pm 3.13-3.43
Pm  0.2500  0.0000  0.3251 [8 per cell]  3 Pm 3.13-3.39
Ho  0.0000  0.2500  0.2663 [4 per cell]  2 Ho 3.57, 10 Pm 3.71-3.92
Ho  0.0000  0.2500  0.7295 [4 per cell]  2 Ho 3.57, 8 Pm 3.67-3.83
Th  0.0000  0.2500  0.9991 [4 per cell]  8 Pm 3.44-3.66, 2 Th 3.57

Output
The value obtained for the density of states at the Fermi level is 87.52 states/eV per cell. For the formation energy, the calculation gives 2.60 eV per formula unit. The density comes out at 7.4 g cm⁻³.

=====

# 5
VASP calculation (PBE) on a relaxed Pr2ErIn3Te6 crystal.

a = 7.7971 Å, b = 13.4982 Å, c = 8.5153 Å
α = 90.00°, β = 107.77°, γ = 90.00°
Last column: nearest neighbours and their distance in Å.
Space group C2/m (No. 12)
One atom of each set of equivalent atoms:
Pr  0.0000  0.1662  0.0000 [4 per cell]  6 Te 3.20-3.22
Er  0.0000  0.5000  0.0000 [2 per cell]  6 Te 3.10-3.11
In  0.0000  0.0000  0.5000 [2 per cell]  6 Te 3.40-3.48
In  0.0000  0.3303  0.5000 [4 per cell]  6 Te 3.40-3.47
Te  0.2354  0.3389  0.2232 [8 per cell]  1 Er 3.10, 2 Pr 3.20-3.21, 2 In 3.40
Te  0.2464  0.5000  0.7734 [4 per cell]  1 Er 3.11, 2 Pr 3.22, 3 In 3.41-3.48

Output
The value obtained for the density of states at the Fermi level is 2.05 states/eV per cell. The density comes out at 6.1 g cm⁻³. The value obtained for the formation energy from raw total energies is -0.978 eV per atom.

=====

# 6
VASP calculation (PBE) on a relaxed CrIr2Rh6 crystal.

a = 8.5726 Å, b = 3.8217 Å, c = 8.1200 Å
α = 90.00°, β = 108.64°, γ = 90.00°
Last column: nearest neighbours and their distance in Å.
Space group C2/m (No. 12)
One atom of each set of equivalent atoms:
Cr  0.0000  0.0000  0.0000 [2 per cell]  8 Rh 2.64-2.70, 4 Ir 2.67
Ir  0.1624  0.5000  0.2177 [4 per cell]  10 Rh 2.65-2.75, 2 Cr 2.67
Rh  0.0013  0.0000  0.6751 [4 per cell]  1 Cr 2.64, 3 Ir 2.68-2.73, 8 Rh 2.68-2.84
Rh  0.1655  0.5000  0.5527 [4 per cell]  9 Rh 2.69-2.76, 3 Ir 2.71-2.75
Rh  0.1673  0.5000  0.8931 [4 per cell]  4 Ir 2.65-2.73, 5 Rh 2.66-2.76, 3 Cr 2.69-2.70

Output
The value obtained for the density of states at the Fermi level is 19.86 states/eV per cell. For the formation energy, the calculation gives -0.56 eV per formula unit. As for the energy above the most stable polymorph in this dataset: 0 meV/atom. The density comes out at 13.9 g cm⁻³.

=====

- density of number 1 (AcAg2B2S6)?
  3.8 g cm⁻³

=====

Repeat the fifth record exactly.
VASP calculation (PBE) on a relaxed Pr2ErIn3Te6 crystal.

a = 7.7971 Å, b = 13.4982 Å, c = 8.5153 Å
α = 90.00°, β = 107.77°, γ = 90.00°
Last column: nearest neighbours and their distance in Å.
Space group C2/m (No. 12)
One atom of each set of equivalent atoms:
Pr  0.0000  0.1662  0.0000 [4 per cell]  6 Te 3.20-3.22
Er  0.0000  0.5000  0.0000 [2 per cell]  6 Te 3.10-3.11
In  0.0000  0.0000  0.5000 [2 per cell]  6 Te 3.40-3.48
In  0.0000  0.3303  0.5000 [4 per cell]  6 Te 3.40-3.47
Te  0.2354  0.3389  0.2232 [8 per cell]  1 Er 3.10, 2 Pr 3.20-3.21, 2 In 3.40
Te  0.2464  0.5000  0.7734 [4 per cell]  1 Er 3.11, 2 Pr 3.22, 3 In 3.41-3.48

Output
The value obtained for the density of states at the Fermi level is 2.05 states/eV per cell. The density comes out at 6.1 g cm⁻³. The value obtained for the formation energy from raw total energies is -0.978 eV per atom.